1.
VASP calculation (meta-GGA SCAN) on a PBEsol-optimized structure of Li2HgPt.

Properties
total magnetization: 0.00 Bohr magnetons per cell
E_form: -0.536 eV/atom
space-group type: I4/mmm (139)

```
data_Li2HgPt
_cell_length_a 3.974
_cell_length_b 3.974
_cell_length_c 4.662
_cell_angle_alpha 115.23
_cell_angle_beta 115.23
_cell_angle_gamma 90.00
_space_group_name_H-M_alt 'P 1'
_space_group_IT_number 1
loop_
_space_group_symop_operation_xyz
'x,y,z'
loop_
_atom_site_label
_atom_site_fract_x
_atom_site_fract_y
_atom_site_fract_z
Li1 0.250 0.750 0.500
Hg1 0.500 0.500 0.000
Li2 0.750 0.250 0.500
Pt1 0.000 0.000 0.000
```

2.
VASP calculation (meta-GGA SCAN) on a PBEsol-optimized structure of NdFe10Si2.

Properties
uncorrected formation energy: -190 meV per atom
total magnetization: 22.39 Bohr magnetons per cell
space-group type: Immm (71)

```
data_NdFe10Si2
_cell_length_a 4.635
_cell_length_b 6.292
_cell_length_c 6.292
_cell_angle_alpha 81.83
_cell_angle_beta 68.39
_cell_angle_gamma 68.39
_space_group_name_H-M_alt 'P 1'
_space_group_IT_number 1
loop_
_space_group_symop_operation_xyz
'x,y,z'
loop_
_atom_site_label
_atom_site_fract_x
_atom_site_fract_y
_atom_site_fract_z
Nd1 0.000 0.000 0.000
Si1 0.741 0.759 0.759
Fe1 0.000 0.000 0.500
Fe2 0.000 0.500 0.000
Fe3 0.500 0.218 0.782
Fe4 0.500 0.000 0.500
Fe5 0.637 0.363 0.363
Fe6 0.363 0.637 0.637
Fe7 0.000 0.356 0.644
Fe8 0.000 0.644 0.356
Si2 0.259 0.241 0.241
Fe9 0.500 0.500 0.000
Fe10 0.500 0.782 0.218
```

3.
VASP calculation (meta-GGA SCAN) on a PBEsol-optimized structure of Zr2TcNi.

Properties
total magnetization: 0.00 Bohr magnetons per cell
E_form: -0.456 eV/atom
space-group type: Fm-3m (225)

```
data_Zr2TcNi
_cell_length_a 4.541
_cell_length_b 4.541
_cell_length_c 4.541
_cell_angle_alpha 60.00
_cell_angle_beta 60.00
_cell_angle_gamma 60.00
_space_group_name_H-M_alt 'P 1'
_space_group_IT_number 1
loop_
_space_group_symop_operation_xyz
'x,y,z'
loop_
_atom_site_label
_atom_site_fract_x
_atom_site_fract_y
_atom_site_fract_z
Zr1 0.750 0.750 0.750
Ni1 0.000 0.000 0.000
Tc1 0.500 0.500 0.500
Zr2 0.250 0.250 0.250
```

4.
VASP calculation (meta-GGA SCAN) on a PBEsol-optimized structure of CaMg2Te.

Properties
uncorrected formation energy: -521 meV per atom
total magnetization: 0.00 Bohr magnetons per cell
space-group type: Immm (71)

```
data_CaMg2Te
_cell_length_a 3.889
_cell_length_b 4.762
_cell_length_c 6.641
_cell_angle_alpha 111.01
_cell_angle_beta 107.03
_cell_angle_gamma 90.00
_space_group_name_H-M_alt 'P 1'
_space_group_IT_number 1
loop_
_space_group_symop_operation_xyz
'x,y,z'
loop_
_atom_site_label
_atom_site_fract_x
_atom_site_fract_y
_atom_site_fract_z
Mg1 0.777 0.777 0.554
Te1 0.500 0.000 0.000
Mg2 0.223 0.223 0.446
Ca1 0.000 0.500 0.000
```

5.
VASP calculation (meta-GGA SCAN) on a PBEsol-optimized structure of Ba3Al2As4.

Properties
total magnetization: 0.00 Bohr magnetons per cell
E_form: -1.108 eV/atom
space-group type: Pnma (62)

```
data_Ba3Al2As4
_cell_length_a 7.430
_cell_length_b 11.772
_cell_length_c 11.821
_cell_angle_alpha 90.00
_cell_angle_beta 90.00
_cell_angle_gamma 90.00
_space_group_name_H-M_alt 'P 1'
_space_group_IT_number 1
loop_
_space_group_symop_operation_xyz
'x,y,z'
loop_
_atom_site_label
_atom_site_fract_x
_atom_site_fract_y
_atom_site_fract_z
As1 0.840 0.440 0.614
Ba1 0.417 0.575 0.638
Al1 0.440 0.626 0.962
Al2 0.560 0.126 0.038
As2 0.340 0.060 0.886
Ba2 0.593 0.250 0.740
Al3 0.060 0.374 0.462
Al4 0.440 0.874 0.962
Al5 0.940 0.874 0.538
Ba3 0.917 0.575 0.862
Al6 0.060 0.126 0.462
Ba4 0.417 0.925 0.638
As3 0.160 0.940 0.386
As4 0.407 0.250 0.177
Ba5 0.093 0.250 0.760
As5 0.660 0.940 0.114
Ba6 0.083 0.425 0.138
As6 0.160 0.560 0.386
Ba7 0.907 0.750 0.240
As7 0.182 0.750 0.027
As8 0.840 0.060 0.614
As9 0.907 0.250 0.323
As10 0.340 0.440 0.886
Ba8 0.583 0.075 0.362
As11 0.593 0.750 0.823
As12 0.682 0.750 0.473
As13 0.318 0.250 0.527
Ba9 0.917 0.925 0.862
Al7 0.560 0.374 0.038
Ba10 0.083 0.075 0.138
As14 0.660 0.560 0.114
Al8 0.940 0.626 0.538
As15 0.093 0.750 0.677
Ba11 0.407 0.750 0.260
Ba12 0.583 0.425 0.362
As16 0.818 0.250 0.973
```

6.
VASP calculation (meta-GGA SCAN) on a PBEsol-optimized structure of BaCoHg2.

Properties
total magnetization: 1.45 Bohr magnetons per cell
E_form: 0.193 eV/atom
space-group type: I4/mmm (139)

```
data_BaCoHg2
_cell_length_a 4.675
_cell_length_b 4.675
_cell_length_c 5.559
_cell_angle_alpha 114.87
_cell_angle_beta 114.87
_cell_angle_gamma 90.00
_space_group_name_H-M_alt 'P 1'
_space_group_IT_number 1
loop_
_space_group_symop_operation_xyz
'x,y,z'
loop_
_atom_site_label
_atom_site_fract_x
_atom_site_fract_y
_atom_site_fract_z
Ba1 0.500 0.500 0.000
Co1 0.000 0.000 0.000
Hg1 0.750 0.250 0.500
Hg2 0.250 0.750 0.500
```

7.
VASP calculation (meta-GGA SCAN) on a PBEsol-optimized structure of Na2U2O7.

Properties
uncorrected formation energy: -3014 meV per atom
total magnetization: 0.00 Bohr magnetons per cell
space-group type: C2/m (12)

```
data_Na2U2O7
_cell_length_a 6.843
_cell_length_b 7.545
_cell_length_c 7.545
_cell_angle_alpha 118.32
_cell_angle_beta 107.99
_cell_angle_gamma 72.01
_space_group_name_H-M_alt 'P 1'
_space_group_IT_number 1
loop_
_space_group_symop_operation_xyz
'x,y,z'
loop_
_atom_site_label
_atom_site_fract_x
_atom_site_fract_y
_atom_site_fract_z
O1 0.551 0.605 0.395
U1 0.543 0.242 0.758
O2 0.891 0.617 0.809
O3 0.370 0.913 0.087
Na1 0.000 0.500 0.500
O4 0.109 0.809 0.617
Na2 0.500 0.745 0.745
U2 0.000 0.500 0.000
Na3 0.000 0.000 0.000
O5 0.891 0.191 0.383
O6 0.449 0.395 0.605
O7 0.109 0.383 0.191
O8 0.630 0.087 0.913
Na4 0.500 0.255 0.255
O9 0.895 0.215 0.785
O10 0.682 0.960 0.450
O11 0.682 0.550 0.040
O12 0.318 0.040 0.550
U3 0.000 0.000 0.500
O13 0.318 0.450 0.960
U4 0.457 0.758 0.242
O14 0.105 0.785 0.215
```

8.
VASP calculation (meta-GGA SCAN) on a PBEsol-optimized structure of Sr2ZnPtSe.

Properties
uncorrected formation energy: -506 meV per atom
total magnetization: 0.02 Bohr magnetons per cell
space-group type: P4/mmm (123)

```
data_Sr2ZnPtSe
_cell_length_a 4.698
_cell_length_b 5.774
_cell_length_c 5.774
_cell_angle_alpha 90.00
_cell_angle_beta 90.00
_cell_angle_gamma 90.00
_space_group_name_H-M_alt 'P 1'
_space_group_IT_number 1
loop_
_space_group_symop_operation_xyz
'x,y,z'
loop_
_atom_site_label
_atom_site_fract_x
_atom_site_fract_y
_atom_site_fract_z
Se1 0.000 0.000 0.000
Pt1 0.500 0.000 0.000
Zn1 0.500 0.500 0.500
Sr1 0.000 0.000 0.500
Sr2 0.000 0.500 0.000
```